Density functional theory data (GGA-PBE) for a geometry-optimized Zr3NiB7 structure.

The space group is Cmcm (No. 63) and the conventional cell measures 3.3099, 14.8980 and 9.0441 Å, with angles of 90.00, 90.00 and 90.00 degrees. The inequivalent atoms are Zr at (0.0000, 0.1064, 0.0546), Zr at (0.0000, 0.2448, 0.7500), Ni at (0.0000, 0.0497, 0.7500), B at (0.0000, 0.2739, 0.0336), B at (0.0000, 0.3683, 0.1506), B at (0.0000, 0.4432, 0.7500) and B at (0.0000, 0.4837, 0.0918).

As for the total energy: -7.866 eV/atom.

***

Density functional theory data (GGA-PBE) for a geometry-optimized YErCCl structure.

The space group is R3m (No. 160, hexagonal axes) and the conventional cell measures 3.6241, 3.6241 and 20.5217 Å, with angles of 90.00, 90.00 and 120.00 degrees. The inequivalent atoms are Y at (0.0000, 0.0000, 0.0000), Er at (0.0000, 0.0000, 0.7910), C at (0.0000, 0.0000, 0.3994) and Cl at (0.0000, 0.0000, 0.2270).

For the uncorrected formation energy, the calculation gives -1.09 eV/atom.

***

Density functional theory data (GGA-PBE) for a geometry-optimized CuPCl2 structure.

The space group is Pm (No. 6) and the conventional cell measures 3.9360, 3.6082 and 6.9112 Å, with angles of 90.00, 101.42 and 90.00 degrees. The inequivalent atoms are Cu at (0.0000, 0.0000, 0.0000), P at (0.0635, 0.5000, 0.1931), Cl at (0.4340, 0.0000, 0.8146) and Cl at (0.7424, 0.5000, 0.3898).

For the uncorrected formation energy, the calculation gives -0.21 eV/atom.

***

Density functional theory data (GGA-PBE) for a geometry-optimized PmSnSO2 structure.

The space group is P2_1/m (No. 11) and the conventional cell measures 6.6197, 4.1448 and 7.5923 Å, with angles of 90.00, 113.22 and 90.00 degrees. The inequivalent atoms are Pm at (0.1946, 0.2500, 0.4407), Sn at (0.1816, 0.2500, 0.9426), S at (0.4674, 0.7500, 0.7136), O at (0.0142, 0.7500, 0.3657) and O at (0.0324, 0.7500, 0.9010).

For the uncorrected formation energy, the calculation gives -1.96 eV/atom.

***

Density functional theory data (GGA-PBE) for a geometry-optimized LiBiH6Ir2 structure.

The space group is C2/c (No. 15) and the conventional cell measures 8.6093, 9.4491 and 5.2761 Å, with angles of 90.00, 107.00 and 90.00 degrees. The inequivalent atoms are Li at (0.0000, 0.1533, 0.2500), Bi at (0.0000, 0.3784, 0.7500), H at (0.0985, 0.1277, 0.6135), H at (0.2032, 0.2585, 0.1428), H at (0.2229, 0.0129, 0.3338) and Ir at (0.2098, 0.3846, 0.3482).

As for the total energy: -4.371 eV/atom.

***

Density functional theory data (GGA-PBE) for a geometry-optimized LaNdWN4 structure.

The space group is I4mm (No. 107) and the conventional cell measures 3.9854, 3.9854 and 12.6549 Å, with angles of 90.00, 90.00 and 90.00 degrees. The inequivalent atoms are La at (0.0000, 0.0000, 0.0000), Nd at (0.0000, 0.0000, 0.7093), W at (0.0000, 0.0000, 0.3538), N at (0.0000, 0.0000, 0.1885), N at (0.0000, 0.0000, 0.5178) and N at (0.0000, 0.5000, 0.3518).

For the uncorrected formation energy, the calculation gives -1.09 eV/atom.

***

Density functional theory data (GGA-PBE) for a geometry-optimized Dy5Ho4Cd structure.

The space group is P4/mmm (No. 123) and the conventional cell measures 3.5420, 3.5420 and 24.0999 Å, with angles of 90.00, 90.00 and 90.00 degrees. The inequivalent atoms are Dy at (0.0000, 0.0000, 0.0000), Dy at (0.0000, 0.0000, 0.2068), Dy at (0.0000, 0.0000, 0.4130), Ho at (0.5000, 0.5000, 0.1033), Ho at (0.5000, 0.5000, 0.3100) and Cd at (0.5000, 0.5000, 0.5000).

As for the total energy: -4.270 eV/atom.

***

Density functional theory data (GGA-PBE) for a geometry-optimized TbCe2ThSb5 structure.

The space group is P4/mmm (No. 123) and the conventional cell measures 5.2942, 5.2942 and 11.8168 Å, with angles of 90.00, 90.00 and 90.00 degrees. The inequivalent atoms are Tb at (0.0000, 0.0000, 0.0000), Ce at (0.5000, 0.5000, 0.2014), Th at (0.0000, 0.0000, 0.5000), Sb at (0.0000, 0.0000, 0.2502), Sb at (0.0000, 0.5000, 0.0000) and Sb at (0.5000, 0.5000, 0.5000).

For the uncorrected formation energy, the calculation gives -0.25 eV/atom.

***

Density functional theory data (GGA-PBE) for a geometry-optimized Ge2MoIr2 structure.

The space group is P4/mbm (No. 127) and the conventional cell measures 7.3191, 7.3191 and 2.8185 Å, with angles of 90.00, 90.00 and 90.00 degrees. The inequivalent atoms are Ge at (0.1511, 0.3489, 0.0000), Mo at (0.0000, 0.0000, 0.0000) and Ir at (0.1494, 0.6494, 0.5000).

As for the total energy: -7.564 eV/atom.

***

Density functional theory data (GGA-PBE) for a geometry-optimized La2Al6PdRh structure.

The space group is Immm (No. 71) and the conventional cell measures 6.7456, 6.7584 and 9.5405 Å, with angles of 90.00, 90.00 and 90.00 degrees. The inequivalent atoms are La at (0.0000, 0.0000, 0.2501), Al at (0.0000, 0.5000, 0.2484), Al at (0.2485, 0.2515, 0.0000), Pd at (0.0000, 0.5000, 0.5000) and Rh at (0.0000, 0.5000, 0.0000).

As for the total energy: -4.949 eV/atom.

***

Density functional theory data (GGA-PBE) for a geometry-optimized AcPtAu structure.

The space group is Pmma (No. 51) and the conventional cell measures 4.5361, 3.9513 and 8.6351 Å, with angles of 90.00, 90.00 and 90.00 degrees. The inequivalent atoms are Ac at (0.2500, 0.0000, 0.2233), Pt at (0.2500, 0.5000, 0.9094) and Au at (0.2500, 0.5000, 0.5918).

As for the total energy: -5.417 eV/atom.

***

Density functional theory data (GGA-PBE) for a geometry-optimized TbPm2DySc4 structure.

The space group is P2/m (No. 10) and the conventional cell measures 5.9710, 3.4502 and 11.1832 Å, with angles of 90.00, 100.20 and 90.00 degrees. The inequivalent atoms are Tb at (0.0000, 0.0000, 0.0000), Pm at (0.5000, 0.0000, 0.5000), Pm at (0.5000, 0.5000, 0.0000), Dy at (0.0000, 0.5000, 0.5000), Sc at (0.2490, 0.0000, 0.7498) and Sc at (0.2493, 0.5000, 0.2501).

As for the total energy: -5.445 eV/atom.

***

Density functional theory data (GGA-PBE) for a geometry-optimized PrUAl4 structure.

The space group is F-43m (No. 216) and the conventional cell measures 7.9425, 7.9425 and 7.9425 Å, with angles of 90.00, 90.00 and 90.00 degrees. The inequivalent atoms are Pr at (0.0000, 0.0000, 0.0000), U at (0.2500, 0.2500, 0.7500) and Al at (0.1242, 0.1242, 0.3758).

As for the total energy: -5.383 eV/atom.

***

Density functional theory data (GGA-PBE) for a geometry-optimized PrPu2ScSb4 structure.

The space group is P2/m (No. 10) and the conventional cell measures 7.5942, 4.4154 and 7.6311 Å, with angles of 90.00, 109.50 and 90.00 degrees. The inequivalent atoms are Pr at (0.0000, 0.0000, 0.0000), Pu at (0.5000, 0.0000, 0.5000), Pu at (0.5000, 0.5000, 0.0000), Sc at (0.0000, 0.5000, 0.5000), Sb at (0.2420, 0.0000, 0.7354) and Sb at (0.2510, 0.5000, 0.2632).

For the uncorrected formation energy, the calculation gives -0.79 eV/atom.

***

Density functional theory data (GGA-PBE) for a geometry-optimized Dy4ZnCu2Ag structure.

The space group is R-3m (No. 166, hexagonal axes) and the conventional cell measures 5.0010, 5.0010 and 24.5727 Å, with angles of 90.00, 90.00 and 120.00 degrees. The inequivalent atoms are Dy at (0.0000, 0.0000, 0.1238), Dy at (0.0000, 0.0000, 0.3740), Zn at (0.0000, 0.0000, 0.0000), Cu at (0.0000, 0.0000, 0.2519) and Ag at (0.0000, 0.0000, 0.5000).

As for the total energy: -4.120 eV/atom.

***

Density functional theory data (GGA-PBE) for a geometry-optimized InCu6ClO8 structure.

The space group is Fm-3m (No. 225) and the conventional cell measures 9.2099, 9.2099 and 9.2099 Å, with angles of 90.00, 90.00 and 90.00 degrees. The inequivalent atoms are In at (0.0000, 0.0000, 0.0000), Cu at (0.0000, 0.2500, 0.2500), Cl at (0.0000, 0.0000, 0.5000) and O at (0.1427, 0.1427, 0.1427).

For the uncorrected formation energy, the calculation gives -0.78 eV/atom.

***

Density functional theory data (GGA-PBE) for a geometry-optimized TbSc structure.

The space group is P-6m2 (No. 187) and the conventional cell measures 3.4796, 3.4796 and 5.4134 Å, with angles of 90.00, 90.00 and 120.00 degrees. The inequivalent atoms are Tb at (0.0000, 0.0000, 0.0000) and Sc at (0.3333, 0.6667, 0.5000).

As for the total energy: -5.426 eV/atom.

***

Density functional theory data (GGA-PBE) for a geometry-optimized VAsRu structure.

The space group is P-6m2 (No. 187) and the conventional cell measures 4.1834, 4.1834 and 2.8261 Å, with angles of 90.00, 90.00 and 120.00 degrees. The inequivalent atoms are V at (0.0000, 0.0000, 0.0000), As at (0.3333, 0.6667, 0.5000) and Ru at (0.6667, 0.3333, 0.5000).

As for the total energy: -7.951 eV/atom.

***

Density functional theory data (GGA-PBE) for a geometry-optimized BeGaBr3 structure.

The space group is Pm-3m (No. 221) and the conventional cell measures 4.9281, 4.9281 and 4.9281 Å, with angles of 90.00, 90.00 and 90.00 degrees. The inequivalent atoms are Be at (0.0000, 0.0000, 0.0000), Ga at (0.5000, 0.5000, 0.5000) and Br at (0.0000, 0.0000, 0.5000).

For the uncorrected formation energy, the calculation gives -0.48 eV/atom.

***

Density functional theory data (GGA-PBE) for a geometry-optimized CsPu2TcO8 structure.

The space group is P-1 (No. 2) and the conventional cell measures 4.6256, 4.6554 and 9.9368 Å, with angles of 99.60, 91.76 and 91.98 degrees. The inequivalent atoms are Cs at (0.0000, 0.0000, 0.0000), Pu at (0.4032, 0.4525, 0.6734), Tc at (0.0000, 0.0000, 0.5000), O at (0.1368, 0.7088, 0.3515), O at (0.2400, 0.8968, 0.6487), O at (0.3080, 0.2920, 0.4769) and O at (0.4746, 0.5898, 0.8588).

For the uncorrected formation energy, the calculation gives -2.12 eV/atom.